# Li5Pu2As3H2

Crystalline Li5Pu2As3H2 at its relaxed geometry (PBE, Alexandria via LeMat-Bulk).

Cell lengths 4.0256, 4.0256, 23.3042 Å; angles 90.00, 90.00, 90.00 degrees
Last column: nearest neighbours and their distance in Å.
Space group I4/mmm (No. 139)
Inequivalent atoms, fractional coordinates:
Li (0.0000, 0.0000, 0.0000) x2  2 H 2.21
Li (0.0000, 0.5000, 0.0808) x8  2 H 2.04
Pu (0.0000, 0.0000, 0.1954) x4  1 H 2.34
As (0.0000, 0.0000, 0.3272) x4  5 Pu 2.89-3.07, 4 Li 2.94
As (0.0000, 0.0000, 0.5000) x2  12 Li 2.76-2.85
H (0.0000, 0.0000, 0.0949) x4  5 Li 2.04-2.21

## Properties
Final energy ... -5.59 eV per atom
D(E_F) ... 1.356 states/eV per atom


# LiPuAsH

Crystalline LiPuAsH at its relaxed geometry (PBE, Alexandria via LeMat-Bulk).

Cell lengths 4.1386, 4.1386, 3.9870 Å; angles 90.00, 90.00, 120.00 degrees
Last column: nearest neighbours and their distance in Å.
Space group P-6m2 (No. 187)
Inequivalent atoms, fractional coordinates:
Li (0.0000, 0.0000, 0.0000) x1  2 H 1.99
Pu (0.3333, 0.6667, 0.5000) x1  3 H 2.39
As (0.6667, 0.3333, 0.0000) x1  3 Li 2.39
H (0.0000, 0.0000, 0.5000) x1  2 Li 1.99

## Properties
D(E_F) ... 2.476 states/eV per atom
Excess energy over the best structure of this formula in the dataset ... 0.00 eV/f.u.


# RbLi2AsH

Crystalline RbLi2AsH at its relaxed geometry (PBE, Alexandria via LeMat-Bulk).

Cell lengths 4.5867, 4.5867, 5.2184 Å; angles 90.00, 90.00, 90.00 degrees
Last column: nearest neighbours and their distance in Å.
Space group P4/mmm (No. 123)
Inequivalent atoms, fractional coordinates:
Rb (0.0000, 0.0000, 0.0000) x1  2 H 2.61
Li (0.0000, 0.5000, 0.5000) x2  2 H 2.29
As (0.5000, 0.5000, 0.0000) x1  4 Rb 3.24, 8 Li 3.47
H (0.0000, 0.0000, 0.5000) x1  4 Li 2.29

## Properties
Final energy ... -2.59 eV per atom
D(E_F) ... 0.537 states/eV per atom


# Li2AsHRh

Crystalline Li2AsHRh at its relaxed geometry (PBE, Alexandria via LeMat-Bulk).

Cell lengths 3.8082, 3.8082, 3.8208 Å; angles 90.00, 90.00, 90.00 degrees
Last column: nearest neighbours and their distance in Å.
Space group P4/mmm (No. 123)
Inequivalent atoms, fractional coordinates:
Li (0.0000, 0.5000, 0.0000) x2  2 H 1.90
As (0.0000, 0.0000, 0.5000) x1  4 Rh 2.69, 8 Li 2.70
H (0.5000, 0.5000, 0.0000) x1  4 Li 1.90, 2 Rh 1.91
Rh (0.5000, 0.5000, 0.5000) x1  2 H 1.91

## Properties
Final energy ... -4.30 eV per atom
D(E_F) ... 0.475 states/eV per atom


# Li2AsHRu

Crystalline Li2AsHRu at its relaxed geometry (PBE, Alexandria via LeMat-Bulk).

Cell lengths 3.7935, 3.7935, 3.7863 Å; angles 90.00, 90.00, 90.00 degrees
Last column: nearest neighbours and their distance in Å.
Space group P4/mmm (No. 123)
Inequivalent atoms, fractional coordinates:
Li (0.0000, 0.5000, 0.0000) x2  2 H 1.90
As (0.0000, 0.0000, 0.5000) x1  8 Li 2.68, 4 Ru 2.68
H (0.5000, 0.5000, 0.0000) x1  2 Ru 1.89, 4 Li 1.90
Ru (0.5000, 0.5000, 0.5000) x1  2 H 1.89

## Properties
Final energy ... -4.52 eV per atom
D(E_F) ... 0.428 states/eV per atom


# Li2As2HRu2

Crystalline Li2As2HRu2 at its relaxed geometry (PBE, Alexandria via LeMat-Bulk).

Cell lengths 3.9758, 3.9758, 12.5801 Å; angles 90.00, 90.00, 90.00 degrees
Last column: nearest neighbours and their distance in Å.
Space group I4/mmm (No. 139)
Inequivalent atoms, fractional coordinates:
Li (0.0000, 0.0000, 0.1602) x4  1 H 2.01
As (0.0000, 0.0000, 0.3733) x4  4 Ru 2.55, 5 Li 2.68-2.84
H (0.0000, 0.0000, 0.0000) x2  4 Ru 1.99, 2 Li 2.01
Ru (0.0000, 0.5000, 0.0000) x4  2 H 1.99

## Properties
Final energy ... -5.38 eV per atom
D(E_F) ... 0.843 states/eV per atom


# Li2AsHS4

Crystalline Li2AsHS4 at its relaxed geometry (PBE, Alexandria via LeMat-Bulk).

Cell lengths 8.5835, 6.4335, 6.3655 Å; angles 90.00, 90.00, 90.00 degrees
Last column: nearest neighbours and their distance in Å.
Space group Pmn2_1 (No. 31)
Inequivalent atoms, fractional coordinates:
Li (0.2410, 0.1908, 0.0000) x4  4 S 2.43-2.53
As (0.0000, 0.6778, 0.9697) x2  4 S 2.15-2.37
H (0.0000, 0.4950, 0.3744) x2  1 S 1.36
S (0.0000, 0.3544, 0.8853) x2  1 As 2.15
S (0.0000, 0.7032, 0.3419) x2  1 H 1.36
S (0.2171, 0.8243, 0.8841) x4  1 As 2.16

## Properties
Final energy ... -4.08 eV per atom
D(E_F) ... 0.000 states/eV per atom


# Li2SbAsH

Crystalline Li2SbAsH at its relaxed geometry (PBE, Alexandria via LeMat-Bulk).

Cell lengths 4.4587, 4.4587, 4.0358 Å; angles 90.00, 90.00, 90.00 degrees
Last column: nearest neighbours and their distance in Å.
Space group P4/mmm (No. 123)
Inequivalent atoms, fractional coordinates:
Li (0.0000, 0.5000, 0.0000) x2  2 H 2.23
Sb (0.0000, 0.0000, 0.5000) x1  8 Li 3.01, 4 As 3.15
As (0.5000, 0.5000, 0.5000) x1  2 H 2.02
H (0.5000, 0.5000, 0.0000) x1  2 As 2.02, 4 Li 2.23

## Properties
Final energy ... -3.39 eV per atom
D(E_F) ... 0.225 states/eV per atom


Q: Which of these has the lowest D(E_F)?
A: Li2AsHS4


Q: D(E_F) of number 5 (Li2AsHRu)?
A: 0.428 states/eV per atom